The following is a DFT calculation (PBE-GGA) of a relaxed Tb4Ge3Au crystal.

## Properties
As for the formation energy: -0.852 eV per atom. As for the total energy: -5.308 eV per atom.

abc: 4.2174 4.1150 10.9586
angles: 90.00 90.00 90.00
Last column: nearest neighbours and their distance in Å.
Sites, in units of the cell vectors:
Tb: 0.5000 0.5000 0.3641  6 Ge 3.00-3.24, 1 Au 3.08
Tb: 0.0000 0.5000 0.8599  5 Ge 2.98-3.00, 2 Au 3.23
Tb: 0.0000 0.0000 0.1390  4 Au 3.01, 3 Ge 3.04-3.26
Tb: 0.5000 0.0000 0.6372  7 Ge 3.00-3.21
Ge: 0.0000 0.5000 0.5880  2 Ge 2.79, 5 Tb 2.98-3.00
Ge: 0.0000 0.0000 0.4162  2 Ge 2.79, 5 Tb 3.00-3.04
Ge: 0.5000 0.0000 0.9126  2 Au 2.78, 5 Tb 3.00-3.02
Au: 0.5000 0.5000 0.0832  2 Ge 2.78, 5 Tb 3.01-3.08

The following is a DFT calculation (PBE-GGA) of a relaxed SmSbS3 crystal.

## Properties
Its formation energy (no corrections) is -1.0938 eV per atom. As for the total energy: -5.339 eV per atom. As for the energy above the most stable polymorph in this dataset: 12.3 meV/atom.

abc: 7.1265 7.1264 7.4509
angles: 61.43 61.43 60.00
Last column: nearest neighbours and their distance in Å.
Sites, in units of the cell vectors:
Sm: 0.3567 0.3567 0.9298  6 S 2.78-2.86
Sm: 0.6433 0.6433 0.0702  6 S 2.78-2.86
Sb: 0.8374 0.8374 0.4877  3 S 2.62
Sb: 0.1626 0.1626 0.5123  3 S 2.62
S: 0.7481 0.4633 0.7489  1 Sb 2.62, 2 Sm 2.78-2.86
S: 0.0397 0.7481 0.7489  1 Sb 2.62, 2 Sm 2.78-2.86
S: 0.4633 0.0397 0.7489  1 Sb 2.62, 2 Sm 2.78-2.86
S: 0.2519 0.5367 0.2511  1 Sb 2.62, 2 Sm 2.78-2.86
S: 0.9603 0.2519 0.2511  1 Sb 2.62, 2 Sm 2.78-2.86
S: 0.5367 0.9603 0.2511  1 Sb 2.62, 2 Sm 2.78-2.86

The following is a DFT calculation (PBE-GGA) of a relaxed Ca4Eu2Ni crystal.

## Properties
As for the formation energy: 0.106 eV per atom. As for the total energy: -4.800 eV per atom.

abc: 5.4583 5.4583 10.4948
angles: 105.07 105.07 90.00
Last column: nearest neighbours and their distance in Å.
Sites, in units of the cell vectors:
Eu: 0.6690 0.6690 0.3380  5 Ca 3.77-3.91
Eu: 0.3310 0.3310 0.6620  5 Ca 3.77-3.91
Ni: 0.0000 0.0000 0.0000  6 Ca 2.69-2.73
Ca: 0.8620 0.8620 0.7239  1 Ni 2.69
Ca: 0.1380 0.1380 0.2761  1 Ni 2.69
Ca: 0.0000 0.5000 0.0000  2 Ni 2.73
Ca: 0.5000 0.0000 0.0000  2 Ni 2.73